The following is a DFT calculation (PBE) of crystalline Ba2OsPbS6 at its relaxed geometry.

Space group   C2/m, No. 12
E   -5.16 eV per atom
Crystal system   monoclinic
Relative energy among the computed polymorphs   0.008 eV per atom

Unit cell a=6.836 b=6.836 c=7.540 alpha=118.15 beta=118.15 gamma=59.65
Last column: magnetic moment on the atom in μB.
Fractional coordinates of all 10 atoms:
Ba 0.761 0.761 0.261  0.01
Ba 0.239 0.239 0.739  0.01
S 0.314 0.798 0.335  0.06
S 0.725 0.725 0.811  0.02
S 0.798 0.314 0.335  0.06
S 0.275 0.275 0.189  0.02
S 0.202 0.686 0.665  0.06
S 0.686 0.202 0.665  0.06
Pb 0.000 0.000 0.000  -0.01
Os 0.500 0.500 0.500  0.87